[1]
## Ca2TlAg (PBE)

Data for a relaxed structure of Ca2TlAg.

abc: 7.191 7.191 7.191
angles: 151.35 129.40 59.18
Atoms (fractional coordinates):
Ca: 0.234 0.234 0.000
Ca: 0.766 0.766 0.000
Tl: 0.500 0.500 0.000
Ag: 0.000 0.000 0.000

Calculated volume ... 34.2 Å³ per atom
E ... -2.02 eV/atom
E_form ... 0.282 eV per atom


[2]
## Ac2UNi9 (PBE)

Data for a relaxed structure of Ac2UNi9.

abc: 9.129 9.129 9.129
angles: 31.83 31.83 31.83
Atoms (fractional coordinates):
Ac: 0.135 0.135 0.135
Ac: 0.865 0.865 0.865
U: 0.000 0.000 0.000
Ni: 0.078 0.576 0.576
Ni: 0.333 0.333 0.333
Ni: 0.424 0.424 0.922
Ni: 0.424 0.922 0.424
Ni: 0.500 0.500 0.500
Ni: 0.576 0.078 0.576
Ni: 0.576 0.576 0.078
Ni: 0.667 0.667 0.667
Ni: 0.922 0.424 0.424

Calculated volume ... 15.7 Å³ per atom
E ... -6.12 eV/atom
E_form ... -0.154 eV per atom


[3]
## YCdAgRh (PBE)

Data for a relaxed structure of YCdAgRh.

abc: 4.831 4.831 4.831
angles: 60.00 60.00 60.00
Atoms (fractional coordinates):
Y: 0.000 0.000 0.000
Cd: 0.500 0.500 0.500
Ag: 0.250 0.250 0.250
Rh: 0.750 0.750 0.750

Calculated volume ... 19.9 Å³ per atom
E ... -4.78 eV/atom
E_form ... -0.385 eV per atom


[4]
## HPdN2F (PBE)

Data for a relaxed structure of HPdN2F.

abc: 3.156 3.156 4.224
angles: 90.00 90.00 90.00
Atoms (fractional coordinates):
H: 0.000 0.000 0.000
Pd: 0.500 0.500 0.500
N: 0.000 0.500 0.000
N: 0.500 0.000 0.000
F: 0.000 0.000 0.500

Calculated volume ... 8.4 Å³ per atom
E ... -3.93 eV/atom
Polymorph energy (0 for the lowest one) ... 0 meV/atom


[5]
## BaTePbS2 (PBE)

Data for a relaxed structure of BaTePbS2.

abc: 5.303 5.303 12.811
angles: 90.00 90.00 90.00
Atoms (fractional coordinates):
Ba: 0.000 0.000 0.000
Te: 0.500 0.500 0.500
Pb: 0.000 0.000 0.500
S: 0.000 0.500 0.000
S: 0.500 0.000 0.000

Calculated volume ... 72.0 Å³ per atom
Formation energy (no corrections) ... 33 kJ per mole of atoms
E ... -3.07 eV/atom


[6]
## FeW (PBE)

Data for a relaxed structure of FeW.

abc: 2.827 4.086 4.857
angles: 90.00 106.92 90.00
Atoms (fractional coordinates):
Fe: 0.088 0.250 0.177
Fe: 0.912 0.750 0.823
W: 0.350 0.250 0.703
W: 0.650 0.750 0.297

Calculated volume ... 13.4 Å³ per atom
E ... -10.51 eV/atom
E_form ... 0.194 eV per atom


[7]
## RbGeW3 (PBE)

Data for a relaxed structure of RbGeW3.

abc: 4.835 4.835 4.835
angles: 90.00 90.00 90.00
Atoms (fractional coordinates):
Rb: 0.000 0.000 0.000
Ge: 0.500 0.500 0.500
W: 0.000 0.500 0.500
W: 0.500 0.000 0.500
W: 0.500 0.500 0.000

Calculated volume ... 22.6 Å³ per atom
E ... -6.62 eV/atom
Polymorph energy (0 for the lowest one) ... 0 meV/atom
E_form ... 2.272 eV per atom


[8]
## SrNbWN2 (PBE)

Data for a relaxed structure of SrNbWN2.

abc: 4.160 4.160 5.809
angles: 90.00 90.00 90.00
Atoms (fractional coordinates):
Sr: 0.000 0.000 0.000
Nb: 0.500 0.500 0.500
W: 0.000 0.000 0.500
N: 0.000 0.500 0.000
N: 0.500 0.000 0.000

Calculated volume ... 20.1 Å³ per atom
Formation energy (no corrections) ... 278 kJ per mole of atoms
E ... -5.39 eV/atom


[9]
## Nd3SmTl3 (PBE)

Data for a relaxed structure of Nd3SmTl3.

abc: 9.716 9.716 5.334
angles: 90.00 90.00 120.00
Atoms (fractional coordinates):
Nd: 0.000 0.240 0.250
Nd: 0.000 0.760 0.750
Nd: 0.240 0.000 0.250
Nd: 0.240 0.240 0.750
Nd: 0.760 0.000 0.750
Nd: 0.760 0.760 0.250
Sm: 0.333 0.667 0.250
Sm: 0.667 0.333 0.750
Tl: 0.071 0.452 0.750
Tl: 0.381 0.929 0.750
Tl: 0.452 0.381 0.250
Tl: 0.548 0.619 0.750
Tl: 0.619 0.071 0.250
Tl: 0.929 0.548 0.250

Calculated volume ... 31.1 Å³ per atom
E ... -3.97 eV/atom
Polymorph energy (0 for the lowest one) ... 48 meV/atom
E_form ... -0.237 eV per atom


[10]
## Cd3RuC (PBE)

Data for a relaxed structure of Cd3RuC.

abc: 4.487 4.487 4.487
angles: 90.00 90.00 90.00
Atoms (fractional coordinates):
Cd: 0.000 0.000 0.500
Cd: 0.000 0.500 0.000
Cd: 0.500 0.000 0.000
Ru: 0.500 0.500 0.500
C: 0.000 0.000 0.000

Calculated volume ... 18.1 Å³ per atom
E ... -3.06 eV/atom
Polymorph energy (0 for the lowest one) ... 0 meV/atom
E_form ... 1.185 eV per atom


[11]
## NbPd8Pt2 (PBE)

Data for a relaxed structure of NbPd8Pt2.

abc: 6.925 6.925 4.824
angles: 102.55 102.55 59.19
Atoms (fractional coordinates):
Nb: 0.000 0.000 0.000
Pd: 0.229 0.229 0.082
Pd: 0.239 0.627 0.209
Pd: 0.355 0.355 0.665
Pd: 0.373 0.761 0.791
Pd: 0.627 0.239 0.209
Pd: 0.645 0.645 0.335
Pd: 0.761 0.373 0.791
Pd: 0.771 0.771 0.918
Pt: 0.125 0.125 0.513
Pt: 0.875 0.875 0.487

Calculated volume ... 17.5 Å³ per atom
E ... -5.68 eV/atom
Polymorph energy (0 for the lowest one) ... 90 meV/atom
E_form ... 0.113 eV per atom


[12]
## PaCdInAg (PBE)

Data for a relaxed structure of PaCdInAg.

abc: 5.095 5.095 5.095
angles: 60.00 60.00 60.00
Atoms (fractional coordinates):
Pa: 0.000 0.000 0.000
Cd: 0.500 0.500 0.500
In: 0.250 0.250 0.250
Ag: 0.750 0.750 0.750

Calculated volume ... 23.4 Å³ per atom
E ... -3.88 eV/atom
E_form ... 0.121 eV per atom